Crystalline LaPdRuC2 at its relaxed geometry. Source: Alexandria via LeMat-Bulk, functional PBE-GGA.

Computed properties:
DFT formation energy ... 1745 meV per atom
Calculated total energy ... -29.12 eV/cell
Total magnetization ... 0.0 μB/f.u.
Density of states at the Fermi level ... 3.335 states/eV/cell

a = 3.962 Å, b = 5.827 Å, c = 3.962 Å
α = 90.00°, β = 90.00°, γ = 90.00°
Element x y z (fractional)
La1 0.000 0.500 0.000
Ru1 0.500 0.500 0.500
Pd1 0.000 0.000 0.000
C1 0.500 0.000 0.000
C2 0.000 0.000 0.500